# BaLi2PrSn2 PBE-GGA relaxed
data_BaLi2PrSn2
_chemical_formula_sum 'Ba1 Li2 Pr1 Sn2'
_space_group_name_H-M_alt 'P -3 m 1'
_space_group_IT_number 164
_space_group_name_Hall '-P 3 2"'
_cell_length_a 4.9578
_cell_length_b 4.9578
_cell_length_c 8.3468
_cell_angle_alpha 90.00
_cell_angle_beta 90.00
_cell_angle_gamma 120.00
loop_
_atom_site_label
_atom_site_type_symbol
_atom_site_fract_x
_atom_site_fract_y
_atom_site_fract_z
Ba1 Ba 0.0000 0.0000 0.0000
Li1 Li 0.3333 0.6667 0.6862
Pr1 Pr 0.0000 0.0000 0.5000
Sn1 Sn 0.3333 0.6667 0.2951
# Energy, eV per cell: -22.129
# Theoretical density, Mg/m³: 4.95
# V, Å³/cell: 178